(1)
RbSn2Bi2: relaxed, PBE.

Size of the total moment = 0.000 μB/atom
DFT formation energy = -0.13 eV/atom
VASP energy = -3.4738 eV/atom
Symmetry = I4/mmm, No. 139

Cell: 5.7622 5.7622 6.9814 Å, 65.63 65.63 90.00°
Fractional coordinates of all 5 atoms:
1 Sn 0.6336 0.6336 0.7328
2 Sn 0.3664 0.3664 0.2672
3 Bi 0.7500 0.2500 0.5000
4 Bi 0.2500 0.7500 0.5000
5 Rb 0.0000 0.0000 0.0000

(2)
NaHfCuOs2: relaxed, PBE.

Size of the total moment = 0.291 μB/atom
DFT formation energy = 2.03 eV/atom
VASP energy = -5.5359 eV/atom
Symmetry = P4/mmm, No. 123

Cell: 4.8120 5.3353 4.8120 Å, 90.00 90.00 90.00°
Each line ends with the local moment (μB).
Fractional coordinates of all 5 atoms:
1 Os 0.0000 0.0000 0.5000  0.67
2 Os 0.5000 0.0000 0.0000  0.79
3 Na 0.0000 0.5000 0.0000  -0.01
4 Hf 0.0000 0.0000 0.0000  -0.09
5 Cu 0.5000 0.5000 0.5000  0.04

(3)
BeZnPb2: relaxed, PBE.

Size of the total moment = 0.000 μB/atom
DFT formation energy = 0.35 eV/atom
VASP energy = -2.7579 eV/atom
Symmetry = I-42d, No. 122

Cell: 9.1502 9.1502 6.8673 Å, 48.22 48.22 90.00°
Fractional coordinates of all 8 atoms:
1 Pb 0.3750 0.4944 0.7500
2 Pb 0.5056 0.1250 0.2500
3 Pb 0.8750 0.7556 0.7500
4 Pb 0.2444 0.6250 0.2500
5 Zn 0.7500 0.2500 0.5000
6 Zn 0.0000 0.0000 0.0000
7 Be 0.2500 0.7500 0.5000
8 Be 0.5000 0.5000 0.0000

(4)
AcTlHgTe3: relaxed, PBE.

Size of the total moment = 0.000 μB/atom
Formation energy from raw total energies = -0.773 eV per atom
VASP energy = -3.4729 eV/atom
Symmetry = P2_1/m, No. 11

Cell: 4.7224 9.7071 10.6612 Å, 102.65 90.00 90.00°
Fractional coordinates of all 12 atoms:
1 Ac 0.2500 0.6780 0.1517
2 Ac 0.7500 0.3220 0.8483
3 Tl 0.7500 0.7967 0.7807
4 Tl 0.2500 0.2033 0.2193
5 Te 0.2500 0.7812 0.4823
6 Te 0.2500 0.5582 0.8344
7 Te 0.2500 0.0863 0.8766
8 Te 0.7500 0.4418 0.1656
9 Te 0.7500 0.2188 0.5177
10 Te 0.7500 0.9137 0.1234
11 Hg 0.2500 0.0958 0.6108
12 Hg 0.7500 0.9042 0.3892